P) Below is a geometry-optimized Pm2PaGa structure, with properties calculated at the PBE level.

Summary:
DOS(E_F) = 5.69 states/eV/f.u.
Total magnetic moment = 0.01 μB per formula unit
Density = 9.25 g/cm³

a b c (Å): 5.3136 5.3136 5.3136
angles (deg): 60.00 60.00 60.00
With the nearest neighbours (Å) after each atom.
Fractional positions:
1 Pa 0.0000 0.0000 0.0000  8 Pm 3.25
2 Ga 0.5000 0.5000 0.5000  8 Pm 3.25
3 Pm 0.2500 0.2500 0.2500  4 Ga 3.25, 4 Pa 3.25
4 Pm 0.7500 0.7500 0.7500  4 Ga 3.25, 4 Pa 3.25


Q) Below is a geometry-optimized Pm2PaGa structure, with properties calculated at the PBE level.

Summary:
DOS(E_F) = 5.06 states/eV/f.u.
Total magnetic moment = 0.42 μB per formula unit
Density = 9.08 g/cm³

a b c (Å): 3.4898 3.4898 8.8755
angles (deg): 90.00 90.00 90.00
With the nearest neighbours (Å) after each atom.
Fractional positions:
1 Pa 0.5000 0.5000 0.5000  8 Pm 3.48, 4 Pa 3.49
2 Ga 0.5000 0.5000 0.0000  8 Pm 3.17, 4 Ga 3.49
3 Pm 0.0000 0.0000 0.7766  4 Ga 3.17, 4 Pa 3.48, 4 Pm 3.49
4 Pm 0.0000 0.0000 0.2234  4 Ga 3.17, 4 Pa 3.48, 4 Pm 3.49


Ranked by calculated energy, most stable first: Q), P).


P) Below is a geometry-optimized Pm2PaGa structure, with properties calculated at the PBE level.

Summary:
DOS(E_F) = 5.47 states/eV/f.u.
Total magnetic moment = 0.00 μB per formula unit
Density = 9.36 g/cm³

a b c (Å): 4.5293 4.8105 4.8105
angles (deg): 90.00 90.00 90.00
With the nearest neighbours (Å) after each atom.
Fractional positions:
1 Pa 0.5000 0.5000 0.5000  8 Pm 3.30, 4 Ga 3.40
2 Ga 0.5000 0.0000 0.0000  8 Pm 3.30, 4 Pa 3.40
3 Pm 0.0000 0.0000 0.5000  4 Pa 3.30, 4 Ga 3.30, 4 Pm 3.40
4 Pm 0.0000 0.5000 0.0000  4 Pa 3.30, 4 Ga 3.30, 4 Pm 3.40


Q) Below is a geometry-optimized Pm2PaGa structure, with properties calculated at the PBE level.

Summary:
DOS(E_F) = 4.82 states/eV/f.u.
Total magnetic moment = 0.00 μB per formula unit
Density = 8.94 g/cm³

a b c (Å): 3.3250 3.3250 11.6208
angles (deg): 81.77 81.77 60.00
With the nearest neighbours (Å) after each atom.
Fractional positions:
1 Pa 0.0000 0.0000 0.0000  2 Pm 3.30, 6 Pa 3.32
2 Ga 0.5000 0.5000 0.5000  6 Pm 3.10, 6 Ga 3.32
3 Pm 0.0959 0.0959 0.7123  3 Ga 3.10, 1 Pa 3.30, 6 Pm 3.32
4 Pm 0.9041 0.9041 0.2877  3 Ga 3.10, 1 Pa 3.30, 6 Pm 3.32


Ranked by calculated energy, most stable first: P), Q).


P) Below is a geometry-optimized PrPaGa structure, with properties calculated at the PBE level.

Summary:
DOS(E_F) = 4.87 states/eV/f.u.
Total magnetic moment = 0.72 μB per formula unit
Density = 9.15 g/cm³

a b c (Å): 4.3407 4.3407 8.5076
angles (deg): 90.00 90.00 90.00
With the nearest neighbours (Å) after each atom.
Fractional positions:
1 Pa 0.0000 0.0000 0.0000  4 Pa 3.07, 4 Ga 3.07
2 Pa 0.5000 0.5000 0.0000  4 Pa 3.07, 4 Ga 3.07
3 Pr 0.0000 0.5000 0.3618  5 Ga 3.20-3.26
4 Pr 0.5000 0.0000 0.6382  5 Ga 3.20-3.26
5 Ga 0.0000 0.5000 0.7445  4 Pa 3.07, 5 Pr 3.20-3.26
6 Ga 0.5000 0.0000 0.2555  4 Pa 3.07, 5 Pr 3.20-3.26


Q) Below is a geometry-optimized PrPaGa structure, with properties calculated at the PBE level.

Summary:
DOS(E_F) = 5.42 states/eV/f.u.
Total magnetic moment = 0.00 μB per formula unit
Density = 9.51 g/cm³

a b c (Å): 3.2988 3.2988 7.4594
angles (deg): 102.77 102.77 90.00
With the nearest neighbours (Å) after each atom.
Fractional positions:
1 Pr 0.0135 0.0135 0.0270  4 Ga 3.24, 4 Pr 3.30
2 Pa 0.3147 0.3147 0.6293  4 Ga 3.09, 4 Pa 3.30
3 Ga 0.6718 0.6718 0.3437  4 Pa 3.09, 4 Pr 3.24, 4 Ga 3.30


Ranked by calculated energy, most stable first: P), Q).


P) Below is a geometry-optimized Pa2Ga5Pt3 structure, with properties calculated at the PBE level.

Summary:
DOS(E_F) = 6.96 states/eV/f.u.
Total magnetic moment = 0.00 μB per formula unit
Density = 12.59 g/cm³

a b c (Å): 4.3835 6.8293 12.4958
angles (deg): 90.00 100.10 90.00
With the nearest neighbours (Å) after each atom.
Fractional positions:
1 Pa 0.4834 0.7532 0.9668  5 Pt 2.83-3.12, 2 Ga 3.02
2 Pa 0.1717 0.7287 0.3433  9 Ga 3.01-3.28, 4 Pt 3.09-3.34
3 Pa 0.8283 0.2287 0.6567  9 Ga 3.01-3.28, 4 Pt 3.09-3.34
4 Pa 0.5166 0.2532 0.0332  5 Pt 2.83-3.12, 2 Ga 3.02
5 Ga 0.3953 0.4122 0.7905  3 Pt 2.59-2.72, 1 Ga 2.66
6 Ga 0.2912 0.5172 0.5824  3 Pt 2.61, 2 Ga 2.66-2.75
7 Ga 0.7088 0.0172 0.4176  3 Pt 2.61, 2 Ga 2.66-2.75
8 Ga 0.1224 0.2575 0.2448  4 Pt 2.57-2.83, 1 Ga 2.79
9 Ga 0.2932 0.9201 0.5863  4 Pt 2.56-2.64, 1 Ga 2.75
10 Ga 0.9480 0.0770 0.8960  4 Pt 2.60-2.68, 1 Ga 2.79
11 Ga 0.7068 0.4201 0.4137  4 Pt 2.56-2.64, 1 Ga 2.75
12 Ga 0.8776 0.7575 0.7552  4 Pt 2.57-2.83, 1 Ga 2.79
13 Ga 0.0520 0.5770 0.1040  4 Pt 2.60-2.68, 1 Ga 2.79
14 Ga 0.6047 0.9122 0.2095  3 Pt 2.59-2.72, 1 Ga 2.66
15 Pt 0.7739 0.7157 0.5478  7 Ga 2.57-2.64
16 Pt 0.6060 0.5134 0.2120  6 Ga 2.56-2.83, 1 Pa 2.83
17 Pt 0.0509 0.9698 0.1017  5 Ga 2.59-2.68
18 Pt 0.2261 0.2157 0.4522  7 Ga 2.57-2.64
19 Pt 0.9491 0.4698 0.8983  5 Ga 2.59-2.68
20 Pt 0.3940 0.0134 0.7880  6 Ga 2.56-2.83, 1 Pa 2.83


Q) Below is a geometry-optimized Pa2Ga5Pt3 structure, with properties calculated at the PBE level.

Summary:
DOS(E_F) = 5.90 states/eV/f.u.
Total magnetic moment = 0.00 μB per formula unit
Density = 12.44 g/cm³

a b c (Å): 5.9403 8.4878 8.4878
angles (deg): 76.59 69.52 69.52
With the nearest neighbours (Å) after each atom.
Fractional positions:
1 Pa 0.1308 0.6005 0.1378  10 Ga 3.13-3.40, 4 Pt 3.15-3.39
2 Pa 0.6308 0.1378 0.6005  10 Ga 3.13-3.40, 4 Pt 3.15-3.39
3 Pa 0.8692 0.3995 0.8622  10 Ga 3.13-3.40, 4 Pt 3.15-3.39
4 Pa 0.3692 0.8622 0.3995  10 Ga 3.13-3.40, 4 Pt 3.15-3.39
5 Ga 0.3907 0.2575 0.9611  3 Pt 2.41-2.52, 2 Ga 2.59
6 Ga 0.8907 0.9611 0.2575  3 Pt 2.41-2.52, 2 Ga 2.59
7 Ga 0.6093 0.7425 0.0389  3 Pt 2.41-2.52, 2 Ga 2.59
8 Ga 0.1093 0.0389 0.7425  3 Pt 2.41-2.52, 2 Ga 2.59
9 Ga 0.4795 0.7705 0.7705  3 Pt 2.54-2.74, 2 Ga 2.59
10 Ga 0.5205 0.2295 0.2295  3 Pt 2.54-2.74, 2 Ga 2.59
11 Ga 0.7500 0.5000 0.5000  4 Pt 2.57
12 Ga 0.2500 0.5000 0.5000  4 Pt 2.57
13 Ga 0.0205 0.2295 0.2295  3 Pt 2.54-2.74, 2 Ga 2.59
14 Ga 0.9795 0.7705 0.7705  3 Pt 2.54-2.74, 2 Ga 2.59
15 Pt 0.3623 0.5130 0.7623  5 Ga 2.41-2.57
16 Pt 0.8623 0.7623 0.5130  5 Ga 2.41-2.57
17 Pt 0.6377 0.4870 0.2377  5 Ga 2.41-2.57
18 Pt 0.1377 0.2377 0.4870  5 Ga 2.41-2.57
19 Pt 0.2500 0.0000 0.0000  6 Ga 2.52-2.74
20 Pt 0.7500 0.0000 0.0000  6 Ga 2.52-2.74


Ranked by calculated energy, most stable first: P), Q).


P) Below is a geometry-optimized PaGa2Pt2 structure, with properties calculated at the PBE level.

Summary:
DOS(E_F) = 4.33 states/eV/f.u.
Total magnetic moment = 0.00 μB per formula unit
Density = 13.35 g/cm³

a b c (Å): 3.9577 3.9577 6.6570
angles (deg): 107.29 107.29 90.00
With the nearest neighbours (Å) after each atom.
Fractional positions:
1 Pa 0.0000 0.0000 0.0000  8 Pt 3.09
2 Ga 0.7500 0.2500 0.5000  4 Pt 2.62, 4 Ga 2.80
3 Ga 0.2500 0.7500 0.5000  4 Pt 2.62, 4 Ga 2.80
4 Pt 0.6085 0.6085 0.2170  4 Ga 2.62, 1 Pt 2.62
5 Pt 0.3915 0.3915 0.7830  4 Ga 2.62, 1 Pt 2.62


Q) Below is a geometry-optimized PaGa2Pt2 structure, with properties calculated at the PBE level.

Summary:
DOS(E_F) = 2.78 states/eV/f.u.
Total magnetic moment = 0.00 μB per formula unit
Density = 13.65 g/cm³

a b c (Å): 4.0711 4.0711 11.1637
angles (deg): 90.00 90.00 90.00
With the nearest neighbours (Å) after each atom.
Fractional positions:
1 Pa 0.5000 0.0000 0.2484  4 Pt 3.09, 8 Ga 3.17-3.44
2 Pa 0.0000 0.5000 0.7516  4 Pt 3.09, 8 Ga 3.17-3.44
3 Ga 0.0000 0.5000 0.3665  5 Pt 2.45-2.52
4 Ga 0.5000 0.0000 0.6335  5 Pt 2.45-2.52
5 Ga 0.5000 0.5000 0.0000  4 Pt 2.62, 4 Ga 2.88
6 Ga 0.0000 0.0000 0.0000  4 Pt 2.62, 4 Ga 2.88
7 Pt 0.5000 0.5000 0.5000  4 Ga 2.52
8 Pt 0.0000 0.0000 0.5000  4 Ga 2.52
9 Pt 0.0000 0.5000 0.1473  5 Ga 2.45-2.62
10 Pt 0.5000 0.0000 0.8527  5 Ga 2.45-2.62


Ranked by calculated energy, most stable first: Q), P).